A plane-wave DFT calculation with GGA-PBE was carried out for an optimized crystal structure of CoRhBr2.

a = 3.7027 Å, b = 3.7027 Å, c = 22.8022 Å
α = 90.00°, β = 90.00°, γ = 120.00°
With the nearest neighbours (Å) after each atom.
Space group R3m (No. 160, hexagonal axes)
Asymmetric unit:
Co: 0.0000 0.0000 0.0000 [3 per cell]  3 Rh 2.42, 3 Br 2.51
Rh: 0.0000 0.0000 0.2839 [3 per cell]  3 Co 2.42, 3 Br 2.59
Br: 0.0000 0.0000 0.5532 [3 per cell]  3 Rh 2.59
Br: 0.0000 0.0000 0.7243 [3 per cell]  3 Co 2.51

Computed properties:
Energy above the lowest structure with this stoichiometry, eV/f.u.: 0.00
Total energy, eV per atom: -4.39
Magnetic moment, μB per formula unit: 1.44
Formation energy (no corrections), meV per atom: 65